## LiZrInOs (PBE)

Data for a relaxed LiZrInOs crystal.

## Properties
symmetry = F-43m, No. 216
E_tot = -6.295 eV/atom
DOS at the Fermi energy = 3.96 states/eV per cell

a = 4.626 Å, b = 4.626 Å, c = 4.626 Å
α = 60.00°, β = 60.00°, γ = 60.00°
Atoms (fractional coordinates):
1 Li 0.750 0.750 0.750
2 Os 0.250 0.250 0.250
3 Zr 0.500 0.500 0.500
4 In 0.000 0.000 0.000

***

## LiInP (PBE)

Data for a relaxed LiInP crystal.

## Properties
symmetry = R3m, No. 160
energy above the most stable polymorph in this dataset = 39.0 meV per atom

a = 4.070 Å, b = 4.070 Å, c = 26.397 Å
α = 90.00°, β = 90.00°, γ = 120.00°
Atoms (fractional coordinates):
1 Li 0.000 0.000 0.336
2 Li 0.333 0.667 0.003
3 Li 0.667 0.333 0.670
4 Li 0.000 0.000 0.062
5 Li 0.333 0.667 0.729
6 Li 0.667 0.333 0.396
7 In 0.000 0.000 0.814
8 In 0.333 0.667 0.480
9 In 0.667 0.333 0.147
10 In 0.000 0.000 0.921
11 In 0.333 0.667 0.587
12 In 0.667 0.333 0.254
13 P 0.000 0.000 0.434
14 P 0.333 0.667 0.101
15 P 0.667 0.333 0.768
16 P 0.000 0.000 0.636
17 P 0.333 0.667 0.302
18 P 0.667 0.333 0.969

***

no.,magnetization (Bohr magnetons per cell)
1,0.00
2,0.00